## P
VASP calculation (PBE-GGA) on a relaxed Ti3Nb3Sn crystal.

It has space group R-3 (No. 148, hexagonal axes), with a = 7.3205 Å, b = 7.3205 Å, c = 17.4737 Å, α = 90.00°, β = 90.00° and γ = 120.00°. The distinct sites, in fractional coordinates, are Ti at (0.0447, 0.4503, 0.3766), Nb at (0.0008, 0.7625, 0.4422) and Sn at (0.0000, 0.0000, 0.1559).

For the volume, the calculation gives 810.96 Å³/cell. The total moment comes out at 0.00 μB per cell. The value obtained for the density of states at the Fermi level is 46.299 states/eV/cell.


## Q
VASP calculation (PBE-GGA) on a relaxed Ti3Nb3Sn crystal.

It has space group P6_3/m (No. 176), with a = 7.8969 Å, b = 7.8969 Å, c = 4.8158 Å, α = 90.00°, β = 90.00° and γ = 120.00°. The distinct sites, in fractional coordinates, are Ti at (0.0851, 0.2496, 0.2500), Nb at (0.0941, 0.4944, 0.7500) and Sn at (0.3333, 0.6667, 0.2500).

For the volume, the calculation gives 260.08 Å³/cell. The total moment comes out at 0.00 μB per cell. The value obtained for the density of states at the Fermi level is 11.011 states/eV/cell.


Which of them is the least stable? Correct choice: P.


## P
VASP calculation (PBE-GGA) on a relaxed TiNbSn2 crystal.

It has space group Fm-3m (No. 225), with a = 6.8197 Å, b = 6.8197 Å, c = 6.8197 Å, α = 90.00°, β = 90.00° and γ = 90.00°. The distinct sites, in fractional coordinates, are Ti at (0.0000, 0.0000, 0.0000), Nb at (0.0000, 0.0000, 0.5000) and Sn at (0.2500, 0.2500, 0.2500).

For the volume, the calculation gives 317.17 Å³/cell. The total moment comes out at 0.00 μB per cell. The value obtained for the density of states at the Fermi level is 15.388 states/eV/cell.


## Q
VASP calculation (PBE-GGA) on a relaxed TiNbSn2 crystal.

It has space group R3m (No. 160, hexagonal axes), with a = 3.1718 Å, b = 3.1718 Å, c = 27.8518 Å, α = 90.00°, β = 90.00° and γ = 120.00°. The distinct sites, in fractional coordinates, are Ti at (0.0000, 0.0000, 0.0000), Nb at (0.0000, 0.0000, 0.8344), Sn at (0.0000, 0.0000, 0.2515) and Sn at (0.0000, 0.0000, 0.4168).

For the volume, the calculation gives 242.66 Å³/cell. The total moment comes out at 0.00 μB per cell. The value obtained for the density of states at the Fermi level is 11.856 states/eV/cell.


## R
VASP calculation (PBE-GGA) on a relaxed TiNbSn2 crystal.

It has space group P4/mmm (No. 123), with a = 3.1254 Å, b = 3.1254 Å, c = 8.1385 Å, α = 90.00°, β = 90.00° and γ = 90.00°. The distinct sites, in fractional coordinates, are Ti at (0.0000, 0.0000, 0.0000), Nb at (0.0000, 0.0000, 0.5000) and Sn at (0.5000, 0.5000, 0.2447).

For the volume, the calculation gives 79.50 Å³/cell. The total moment comes out at 0.00 μB per cell. The value obtained for the density of states at the Fermi level is 3.122 states/eV/cell.


## S
VASP calculation (PBE-GGA) on a relaxed TiNbSn2 crystal.

It has space group R-3m (No. 166, hexagonal axes), with a = 3.1477 Å, b = 3.1477 Å, c = 28.3053 Å, α = 90.00°, β = 90.00° and γ = 120.00°. The distinct sites, in fractional coordinates, are Ti at (0.0000, 0.0000, 0.0000), Nb at (0.0000, 0.0000, 0.5000) and Sn at (0.0000, 0.0000, 0.2509).

For the volume, the calculation gives 242.88 Å³/cell. The total moment comes out at 0.00 μB per cell. The value obtained for the density of states at the Fermi level is 12.616 states/eV/cell.


Which of them is the least stable? Correct choice: P.


## P
VASP calculation (PBE-GGA) on a relaxed YTiNbSn2 crystal.

It has space group P4/mmm (No. 123), with a = 5.3169 Å, b = 5.3169 Å, c = 5.2014 Å, α = 90.00°, β = 90.00° and γ = 90.00°. The distinct sites, in fractional coordinates, are Y at (0.0000, 0.0000, 0.0000), Ti at (0.5000, 0.5000, 0.0000), Nb at (0.0000, 0.0000, 0.5000) and Sn at (0.0000, 0.5000, 0.5000).

For the volume, the calculation gives 147.04 Å³/cell. The total moment comes out at 0.00 μB per cell. The value obtained for the density of states at the Fermi level is 10.385 states/eV/cell.


## Q
VASP calculation (PBE-GGA) on a relaxed YTiNbSn2 crystal.

It has space group P4/mmm (No. 123), with a = 5.2152 Å, b = 5.2152 Å, c = 4.6951 Å, α = 90.00°, β = 90.00° and γ = 90.00°. The distinct sites, in fractional coordinates, are Y at (0.0000, 0.0000, 0.0000), Ti at (0.5000, 0.5000, 0.5000), Nb at (0.5000, 0.5000, 0.0000) and Sn at (0.0000, 0.5000, 0.5000).

For the volume, the calculation gives 127.70 Å³/cell. The total moment comes out at 0.00 μB per cell. The value obtained for the density of states at the Fermi level is 5.923 states/eV/cell.


Which of them is the least stable? Correct choice: P.